[1]
! SrScIn4 (PBE, optimized geometry); values from VASP
&SYSTEM
  ibrav = 0, nat = 6, ntyp = 3
/
ATOMIC_SPECIES
Sr 87.62 Sr.upf
Sc 44.96 Sc.upf
In 114.82 In.upf
ATOMIC_POSITIONS crystal
Sr 0.0000 0.0000 0.0000
Sc 0.7500 0.7500 0.7500
In 0.8737 0.3754 0.3754
In 0.3754 0.3754 0.8737
In 0.3754 0.8737 0.3754
In 0.3754 0.3754 0.3754
CELL_PARAMETERS angstrom
0.5961 -6.0277 -0.5985
-4.2469 -3.1989 -2.9628
1.2528 -2.4083 -5.4477
! **Uncorrected energy**: -3.379 eV per atom
! **Mass density**: 6.16 Mg/m³
! **DFT formation energy**: -0.2175 eV per atom
! **D(E_F)**: 4.9 states/eV per cell

[2]
! Sr2ScIn (PBE, optimized geometry); values from VASP
&SYSTEM
  ibrav = 0, nat = 4, ntyp = 3
/
ATOMIC_SPECIES
In 114.82 In.upf
Sc 44.96 Sc.upf
Sr 87.62 Sr.upf
ATOMIC_POSITIONS crystal
In 0.0000 0.0000 0.5466
Sc 0.5000 0.5000 0.6859
Sr 0.0000 0.0000 0.9572
Sr 0.5000 0.5000 0.3103
CELL_PARAMETERS angstrom
3.8625 0.0000 0.0000
0.0000 3.8625 0.0000
0.0000 0.0000 9.7512
! **Uncorrected energy**: -3.213 eV per atom
! **Mass density**: 3.82 Mg/m³
! **DFT formation energy**: -0.1046 eV per atom
! **D(E_F)**: 5.2 states/eV per cell

[3]
! SrSc2In (PBE, optimized geometry); values from VASP
&SYSTEM
  ibrav = 0, nat = 4, ntyp = 3
/
ATOMIC_SPECIES
In 114.82 In.upf
Sc 44.96 Sc.upf
Sr 87.62 Sr.upf
ATOMIC_POSITIONS crystal
In 0.7663 0.2663 0.5000
Sc 0.9718 0.9718 0.0000
Sc 0.2417 0.7417 0.5000
Sr 0.5203 0.5203 0.0000
CELL_PARAMETERS angstrom
6.4126 -0.0142 -0.0264
3.1225 5.6011 0.0264
-4.3321 -3.5366 3.1382
! **Uncorrected energy**: -4.259 eV per atom
! **Mass density**: 4.29 Mg/m³
! **DFT formation energy**: 0.0119 eV per atom
! **D(E_F)**: 5.6 states/eV per cell

[4]
! SrSc2In (PBE, optimized geometry); values from VASP
&SYSTEM
  ibrav = 0, nat = 4, ntyp = 3
/
ATOMIC_SPECIES
In 114.82 In.upf
Sc 44.96 Sc.upf
Sr 87.62 Sr.upf
ATOMIC_POSITIONS crystal
In 0.2500 0.2500 0.2500
Sc 0.9653 0.9653 0.0349
Sc 0.5347 0.5347 0.4651
Sr 0.7500 0.7500 0.7500
CELL_PARAMETERS angstrom
6.6527 -0.0024 0.0129
5.6661 3.4862 0.0129
2.3245 0.6574 5.0276
! **Uncorrected energy**: -4.339 eV per atom
! **Mass density**: 4.16 Mg/m³
! **DFT formation energy**: -0.0678 eV per atom
! **D(E_F)**: 5.8 states/eV per cell

[5]
! SrSc2In (PBE, optimized geometry); values from VASP
&SYSTEM
  ibrav = 0, nat = 4, ntyp = 3
/
ATOMIC_SPECIES
Sc 44.96 Sc.upf
Sr 87.62 Sr.upf
In 114.82 In.upf
ATOMIC_POSITIONS crystal
Sc 0.9170 0.9170 0.9170
Sc 0.0830 0.0830 0.0830
Sr 0.5000 0.5000 0.5000
In 0.0000 0.0000 0.0000
CELL_PARAMETERS angstrom
1.9868 0.0000 12.0790
-0.9934 1.7206 12.0790
-0.9934 -1.7206 12.0790
! **Uncorrected energy**: -3.887 eV per atom
! **Mass density**: 3.92 Mg/m³
! **DFT formation energy**: 0.3839 eV per atom
! **D(E_F)**: 6.7 states/eV per cell

[6]
! Sr2ScIn (PBE, optimized geometry); values from VASP
&SYSTEM
  ibrav = 0, nat = 4, ntyp = 3
/
ATOMIC_SPECIES
In 114.82 In.upf
Sc 44.96 Sc.upf
Sr 87.62 Sr.upf
ATOMIC_POSITIONS crystal
In 0.5000 0.2500 0.2500
Sc 0.5000 0.7500 0.7500
Sr 0.0000 0.9914 0.0091
Sr 0.0000 0.5086 0.4909
CELL_PARAMETERS angstrom
4.8582 0.0000 0.0000
0.0000 3.8512 0.0190
0.0000 3.8104 7.3666
! **Uncorrected energy**: -3.090 eV per atom
! **Mass density**: 4.05 Mg/m³
! **DFT formation energy**: 0.0181 eV per atom
! **D(E_F)**: 4.5 states/eV per cell

[7]
! Sr2ScIn (PBE, optimized geometry); values from VASP
&SYSTEM
  ibrav = 0, nat = 4, ntyp = 3
/
ATOMIC_SPECIES
In 114.82 In.upf
Sc 44.96 Sc.upf
Sr 87.62 Sr.upf
ATOMIC_POSITIONS crystal
In 0.4918 0.4918 0.4918
Sc 0.7647 0.7647 0.7647
Sr 0.0085 0.0085 0.0085
Sr 0.2351 0.2351 0.2351
CELL_PARAMETERS angstrom
11.5659 -0.0021 -0.0012
10.9137 3.8289 -0.0012
10.9137 1.8579 3.3479
! **Uncorrected energy**: -3.059 eV per atom
! **Mass density**: 3.75 Mg/m³
! **DFT formation energy**: 0.0493 eV per atom
! **D(E_F)**: 4.7 states/eV per cell

[8]
! Sr2ScIn (PBE, optimized geometry); values from VASP
&SYSTEM
  ibrav = 0, nat = 4, ntyp = 3
/
ATOMIC_SPECIES
In 114.82 In.upf
Sc 44.96 Sc.upf
Sr 87.62 Sr.upf
ATOMIC_POSITIONS crystal
In 0.7500 0.7500 0.7500
Sc 0.2500 0.2500 0.2500
Sr 0.0000 0.0000 0.0000
Sr 0.5000 0.5000 0.5000
CELL_PARAMETERS angstrom
6.2060 -0.0354 0.0276
4.1009 4.6581 0.0276
2.1218 0.9516 4.5925
! **Uncorrected energy**: -3.100 eV per atom
! **Mass density**: 4.18 Mg/m³
! **DFT formation energy**: 0.0088 eV per atom
! **D(E_F)**: 2.1 states/eV per cell

[9]
! SrSc2In (PBE, optimized geometry); values from VASP
&SYSTEM
  ibrav = 0, nat = 4, ntyp = 3
/
ATOMIC_SPECIES
In 114.82 In.upf
Sc 44.96 Sc.upf
Sr 87.62 Sr.upf
ATOMIC_POSITIONS crystal
In 0.5000 0.0000 0.5000
Sc 0.0000 0.0000 0.0000
Sc 0.0000 0.5000 0.5000
Sr 0.5000 0.5000 0.0000
CELL_PARAMETERS angstrom
6.5732 0.0127 0.0107
-2.7043 5.3809 -0.0067
0.7712 0.5499 3.1900
! **Uncorrected energy**: -4.193 eV per atom
! **Mass density**: 4.30 Mg/m³
! **DFT formation energy**: 0.0782 eV per atom
! **D(E_F)**: 6.1 states/eV per cell

[10]
! SrSc2In (PBE, optimized geometry); values from VASP
&SYSTEM
  ibrav = 0, nat = 8, ntyp = 3
/
ATOMIC_SPECIES
Sc 44.96 Sc.upf
Sr 87.62 Sr.upf
In 114.82 In.upf
ATOMIC_POSITIONS crystal
Sc 0.8738 0.1250 0.2500
Sc 0.8762 0.6250 0.2500
Sc 0.3750 0.1262 0.7500
Sc 0.8750 0.1238 0.7500
Sr 0.5000 0.5000 0.0000
Sr 0.2500 0.7500 0.5000
In 0.0000 0.0000 0.0000
In 0.7500 0.2500 0.5000
CELL_PARAMETERS angstrom
5.2896 0.0000 0.0000
0.0000 5.2896 0.0000
2.6448 2.6448 10.7315
! **Uncorrected energy**: -3.808 eV per atom
! **Mass density**: 3.23 Mg/m³
! **DFT formation energy**: 0.4628 eV per atom
! **D(E_F)**: 8.9 states/eV per cell

[11]
! Sr4ScIn5 (PBE, optimized geometry); values from VASP
&SYSTEM
  ibrav = 0, nat = 10, ntyp = 3
/
ATOMIC_SPECIES
Sr 87.62 Sr.upf
Sc 44.96 Sc.upf
In 114.82 In.upf
ATOMIC_POSITIONS crystal
Sr 0.0000 0.0000 0.1787
Sr 0.0000 0.0000 0.3930
Sr 0.0000 0.0000 0.6070
Sr 0.0000 0.0000 0.8213
Sc 0.0000 0.0000 0.0000
In 0.5000 0.5000 0.0749
In 0.5000 0.5000 0.2849
In 0.5000 0.5000 0.5000
In 0.5000 0.5000 0.7151
In 0.5000 0.5000 0.9251
CELL_PARAMETERS angstrom
3.7464 0.0000 0.0000
0.0000 3.7464 0.0000
0.0000 0.0000 22.1174
! **Uncorrected energy**: -3.067 eV per atom
! **Mass density**: 5.19 Mg/m³
! **DFT formation energy**: -0.3920 eV per atom
! **D(E_F)**: 8.0 states/eV per cell

[12]
! Sr4ScIn (PBE, optimized geometry); values from VASP
&SYSTEM
  ibrav = 0, nat = 6, ntyp = 3
/
ATOMIC_SPECIES
Sr 87.62 Sr.upf
Sc 44.96 Sc.upf
In 114.82 In.upf
ATOMIC_POSITIONS crystal
Sr 0.8763 0.3746 0.3746
Sr 0.3746 0.3746 0.8763
Sr 0.3746 0.8763 0.3746
Sr 0.3746 0.3746 0.3746
Sc 0.0000 0.0000 0.0000
In 0.7500 0.7500 0.7500
CELL_PARAMETERS angstrom
0.0000 5.0210 5.0210
5.0210 0.0000 5.0210
5.0210 5.0210 0.0000
! **Uncorrected energy**: -2.156 eV per atom
! **Mass density**: 3.35 Mg/m³
! **DFT formation energy**: 0.4767 eV per atom
! **D(E_F)**: 8.4 states/eV per cell